[1]
The following is a GGA-PBEsol calculation of RbTe after structural relaxation, from Alexandria via LeMat-Bulk.

Formation energy from raw total energies in eV per atom: -0.805

The structure in CIF format:
```
data_RbTe
_chemical_formula_sum 'Rb6 Te6'
_symmetry_space_group_name_H-M 'P -6 2 m'
_symmetry_Int_Tables_number 189
_symmetry_space_group_name_Hall 'P -6 -2'
_cell_length_a 9.9500
_cell_length_b 9.9500
_cell_length_c 6.3034
_cell_angle_alpha 90.00
_cell_angle_beta 90.00
_cell_angle_gamma 120.00
loop_
_atom_site_label
_atom_site_fract_x
_atom_site_fract_y
_atom_site_fract_z
_atom_site_occupancy
Rb1 0.0000 0.3248 0.0000 1
Rb2 0.0000 0.6581 0.5000 1
Te1 0.0000 0.0000 0.2761 1
Te2 0.3333 0.6667 0.2248 1
```



[2]
The following is a GGA-PBEsol calculation of RbTe6 after structural relaxation, from Alexandria via LeMat-Bulk.

Formation energy from raw total energies in eV per atom: -0.240

The structure in CIF format:
```
data_RbTe6
_chemical_formula_sum 'Rb4 Te24'
_symmetry_space_group_name_H-M 'C 1 2/c 1'
_symmetry_Int_Tables_number 15
_cell_length_a 11.560
_cell_length_b 7.242
_cell_length_c 12.412
_cell_angle_alpha 90.00
_cell_angle_beta 111.71
_cell_angle_gamma 90.00
loop_
_symmetry_equiv_pos_as_xyz
'x,y,z'
'-x,-y,-z'
'-x,y,-z+1/2'
'x,-y,z+1/2'
'x+1/2,y+1/2,z'
'-x+1/2,-y+1/2,-z'
'-x+1/2,y+1/2,-z+1/2'
'x+1/2,-y+1/2,z+1/2'
loop_
_atom_site_label
_atom_site_fract_x
_atom_site_fract_y
_atom_site_fract_z
_atom_site_occupancy
Rb1 0.000 0.118 0.250 1
Te1 0.070 0.202 0.553 1
Te2 0.184 0.439 0.090 1
Te3 0.212 0.482 0.847 1
```



[3]
The following is a GGA-PBEsol calculation of RbTe after structural relaxation, from Alexandria via LeMat-Bulk.

Formation energy from raw total energies in eV per atom: -0.804

The structure in CIF format:
```
data_RbTe
_chemical_formula_sum 'Rb4 Te4'
_symmetry_space_group_name_H-M 'P b a m'
_symmetry_Int_Tables_number 55
_cell_length_a 5.713
_cell_length_b 10.913
_cell_length_c 4.845
_cell_angle_alpha 90.00
_cell_angle_beta 90.00
_cell_angle_gamma 90.00
loop_
_symmetry_equiv_pos_as_xyz
'x,y,z'
'-x,-y,-z'
'-x,-y,z'
'x,y,-z'
'x+1/2,-y+1/2,-z'
'-x+1/2,y+1/2,z'
'-x+1/2,y+1/2,-z'
'x+1/2,-y+1/2,z'
loop_
_atom_site_label
_atom_site_fract_x
_atom_site_fract_y
_atom_site_fract_z
_atom_site_occupancy
Rb1 0.173 0.134 0.000 1
Te1 0.145 0.394 0.500 1
```



[4]
The following is a GGA-PBEsol calculation of Rb3Ti3Te11 after structural relaxation, from Alexandria via LeMat-Bulk.

Formation energy from raw total energies in eV per atom: -0.700

The structure in CIF format:
```
data_Rb3Ti3Te11
_chemical_formula_sum 'Rb12 Ti12 Te44'
_symmetry_space_group_name_H-M 'P 1 21/c 1'
_symmetry_Int_Tables_number 14
_cell_length_a 10.492
_cell_length_b 15.050
_cell_length_c 17.623
_cell_angle_alpha 90.00
_cell_angle_beta 123.74
_cell_angle_gamma 90.00
loop_
_symmetry_equiv_pos_as_xyz
'x,y,z'
'-x,-y,-z'
'-x,y+1/2,-z+1/2'
'x,-y+1/2,z+1/2'
loop_
_atom_site_label
_atom_site_fract_x
_atom_site_fract_y
_atom_site_fract_z
_atom_site_occupancy
Rb1 0.072 0.111 0.123 1
Rb2 0.289 0.622 0.057 1
Rb3 0.426 0.025 0.853 1
Ti1 0.045 0.188 0.823 1
Ti2 0.342 0.215 0.022 1
Ti3 0.349 0.701 0.818 1
Te1 0.064 0.201 0.459 1
Te2 0.090 0.152 0.685 1
Te3 0.138 0.659 0.260 1
Te4 0.146 0.566 0.810 1
Te5 0.171 0.664 0.630 1
Te6 0.213 0.060 0.956 1
Te7 0.312 0.218 0.366 1
Te8 0.361 0.692 0.450 1
Te9 0.404 0.532 0.776 1
Te10 0.418 0.106 0.526 1
Te11 0.442 0.209 0.196 1
```



[5]
The following is a GGA-PBEsol calculation of Rb3TiTe after structural relaxation, from Alexandria via LeMat-Bulk.

Formation energy from raw total energies in eV per atom: 0.713

The structure in CIF format:
```
data_Rb3TiTe
_chemical_formula_sum 'Rb3 Ti1 Te1'
_symmetry_space_group_name_H-M 'P m -3 m'
_symmetry_Int_Tables_number 221
_symmetry_space_group_name_Hall '-P 4 2 3'
_cell_length_a 6.110
_cell_length_b 6.110
_cell_length_c 6.110
_cell_angle_alpha 90.00
_cell_angle_beta 90.00
_cell_angle_gamma 90.00
loop_
_atom_site_label
_atom_site_fract_x
_atom_site_fract_y
_atom_site_fract_z
_atom_site_occupancy
Rb1 0.000 0.000 0.500 1
Ti1 0.000 0.000 0.000 1
Te1 0.500 0.500 0.500 1
```



[6]
The following is a GGA-PBEsol calculation of RbTl2Te2 after structural relaxation, from Alexandria via LeMat-Bulk.

Formation energy from raw total energies in eV per atom: -0.390

The structure in CIF format:
```
data_RbTl2Te2
_chemical_formula_sum 'Rb2 Tl4 Te4'
_symmetry_space_group_name_H-M 'I 4/m m m'
_symmetry_Int_Tables_number 139
_symmetry_space_group_name_Hall '-I 4 2'
_cell_length_a 5.873
_cell_length_b 5.873
_cell_length_c 10.379
_cell_angle_alpha 90.00
_cell_angle_beta 90.00
_cell_angle_gamma 90.00
loop_
_atom_site_label
_atom_site_fract_x
_atom_site_fract_y
_atom_site_fract_z
_atom_site_occupancy
Rb1 0.000 0.000 0.000 1
Tl1 0.000 0.000 0.354 1
Te1 0.000 0.500 0.250 1
```



[7]
The following is a GGA-PBEsol calculation of RbTl2Te2 after structural relaxation, from Alexandria via LeMat-Bulk.

Formation energy from raw total energies in eV per atom: -0.407

The structure in CIF format:
```
data_RbTl2Te2
_chemical_formula_sum 'Rb2 Tl4 Te4'
_symmetry_space_group_name_H-M 'P 4/m b m'
_symmetry_Int_Tables_number 127
_symmetry_space_group_name_Hall '-P 4 2ab'
_cell_length_a 9.147
_cell_length_b 9.147
_cell_length_c 3.942
_cell_angle_alpha 90.00
_cell_angle_beta 90.00
_cell_angle_gamma 90.00
loop_
_atom_site_label
_atom_site_fract_x
_atom_site_fract_y
_atom_site_fract_z
_atom_site_occupancy
Rb1 0.000 0.000 0.000 1
Tl1 0.124 0.376 0.000 1
Te1 0.174 0.674 0.500 1
```



[8]
The following is a GGA-PBEsol calculation of RbTlTe2 after structural relaxation, from Alexandria via LeMat-Bulk.

Formation energy from raw total energies in eV per atom: -0.433

The structure in CIF format:
```
data_RbTlTe2
_chemical_formula_sum 'Rb4 Tl4 Te8'
_symmetry_space_group_name_H-M 'I -4 2 d'
_symmetry_Int_Tables_number 122
_symmetry_space_group_name_Hall 'I -4 2bw'
_cell_length_a 8.436
_cell_length_b 8.436
_cell_length_c 9.328
_cell_angle_alpha 90.00
_cell_angle_beta 90.00
_cell_angle_gamma 90.00
loop_
_atom_site_label
_atom_site_fract_x
_atom_site_fract_y
_atom_site_fract_z
_atom_site_occupancy
Rb1 0.000 0.000 0.000 1
Tl1 0.000 0.000 0.500 1
Te1 0.179 0.250 0.625 1
```



[9]
The following is a GGA-PBEsol calculation of Rb2UTe3 after structural relaxation, from Alexandria via LeMat-Bulk.

Formation energy from raw total energies in eV per atom: -0.795

The structure in CIF format:
```
data_Rb2UTe3
_chemical_formula_sum 'Rb8 U4 Te12'
_symmetry_space_group_name_H-M 'C 1 2/m 1'
_symmetry_Int_Tables_number 12
_cell_length_a 8.050
_cell_length_b 13.930
_cell_length_c 8.793
_cell_angle_alpha 90.00
_cell_angle_beta 108.04
_cell_angle_gamma 90.00
loop_
_symmetry_equiv_pos_as_xyz
'x,y,z'
'-x,-y,-z'
'-x,y,-z'
'x,-y,z'
'x+1/2,y+1/2,z'
'-x+1/2,-y+1/2,-z'
'-x+1/2,y+1/2,-z'
'x+1/2,-y+1/2,z'
loop_
_atom_site_label
_atom_site_fract_x
_atom_site_fract_y
_atom_site_fract_z
_atom_site_occupancy
Rb1 0.000 0.000 0.000 1
Rb2 0.000 0.153 0.500 1
Rb3 0.000 0.500 0.500 1
U1 0.000 0.332 0.000 1
Te1 0.193 0.500 0.201 1
Te2 0.241 0.312 0.793 1
```



[10]
The following is a GGA-PBEsol calculation of RbZrZnTe2 after structural relaxation, from Alexandria via LeMat-Bulk.

Formation energy from raw total energies in eV per atom: -0.456

The structure in CIF format:
```
data_RbZrZnTe2
_chemical_formula_sum 'Rb1 Zr1 Zn1 Te2'
_symmetry_space_group_name_H-M 'P 4/m m m'
_symmetry_Int_Tables_number 123
_symmetry_space_group_name_Hall '-P 4 2'
_cell_length_a 5.591
_cell_length_b 5.591
_cell_length_c 5.352
_cell_angle_alpha 90.00
_cell_angle_beta 90.00
_cell_angle_gamma 90.00
loop_
_atom_site_label
_atom_site_fract_x
_atom_site_fract_y
_atom_site_fract_z
_atom_site_occupancy
Rb1 0.000 0.000 0.000 1
Zr1 0.500 0.500 0.500 1
Zn1 0.500 0.500 0.000 1
Te1 0.000 0.500 0.500 1
```



[11]
The following is a GGA-PBEsol calculation of RbZr12Te16 after structural relaxation, from Alexandria via LeMat-Bulk.

Formation energy from raw total energies in eV per atom: -1.001

The structure in CIF format:
```
data_RbZr12Te16
_chemical_formula_sum 'Rb2 Zr24 Te32'
_symmetry_space_group_name_H-M 'P -6'
_symmetry_Int_Tables_number 174
_cell_length_a 11.0292
_cell_length_b 11.0292
_cell_length_c 15.5162
_cell_angle_alpha 90.00
_cell_angle_beta 90.00
_cell_angle_gamma 120.00
loop_
_symmetry_equiv_pos_as_xyz
'x,y,z'
'-x+y,-x,-z'
'-y,x-y,z'
'x,y,-z'
'-x+y,-x,z'
'-y,x-y,-z'
loop_
_atom_site_label
_atom_site_fract_x
_atom_site_fract_y
_atom_site_fract_z
_atom_site_occupancy
Rb1 0.0000 0.0000 0.2208 1
Zr1 0.1240 0.4921 0.1246 1
Zr2 0.1245 0.4925 0.3754 1
Zr3 0.4901 0.3655 0.5000 1
Zr4 0.4899 0.3660 0.2501 1
Zr5 0.4914 0.3666 0.0000 1
Te1 0.0573 0.7131 0.1244 1
Te2 0.0573 0.7137 0.3753 1
Te3 0.3333 0.6667 0.0000 1
Te4 0.3333 0.6667 0.2499 1
Te5 0.3333 0.6667 0.5000 1
Te6 0.3449 0.0570 0.0000 1
Te7 0.3458 0.0566 0.5000 1
Te8 0.3475 0.0570 0.2504 1
Te9 0.6667 0.3333 0.1252 1
Te10 0.6667 0.3333 0.3750 1
```



[12]
The following is a GGA-PBEsol calculation of Rb2ZrTe3 after structural relaxation, from Alexandria via LeMat-Bulk.

Formation energy from raw total energies in eV per atom: -1.006

The structure in CIF format:
```
data_Rb2ZrTe3
_chemical_formula_sum 'Rb8 Zr4 Te12'
_symmetry_space_group_name_H-M 'P 1 21/c 1'
_symmetry_Int_Tables_number 14
_cell_length_a 10.011
_cell_length_b 14.072
_cell_length_c 6.758
_cell_angle_alpha 90.00
_cell_angle_beta 109.30
_cell_angle_gamma 90.00
loop_
_symmetry_equiv_pos_as_xyz
'x,y,z'
'-x,-y,-z'
'-x,y+1/2,-z+1/2'
'x,-y+1/2,z+1/2'
loop_
_atom_site_label
_atom_site_fract_x
_atom_site_fract_y
_atom_site_fract_z
_atom_site_occupancy
Rb1 0.088 0.138 0.081 1
Rb2 0.360 0.047 0.682 1
Zr1 0.302 0.749 0.355 1
Te1 0.104 0.645 0.016 1
Te2 0.272 0.584 0.601 1
Te3 0.466 0.190 0.271 1
```



[13]
The following is a GGA-PBEsol calculation of Rb4Zr3Te16 after structural relaxation, from Alexandria via LeMat-Bulk.

Formation energy from raw total energies in eV per atom: -0.705

The structure in CIF format:
```
data_Rb4Zr3Te16
_chemical_formula_sum 'Rb16 Zr12 Te64'
_symmetry_space_group_name_H-M 'C 1 2/c 1'
_symmetry_Int_Tables_number 15
_cell_length_a 11.850
_cell_length_b 18.678
_cell_length_c 14.968
_cell_angle_alpha 90.00
_cell_angle_beta 102.49
_cell_angle_gamma 90.00
loop_
_symmetry_equiv_pos_as_xyz
'x,y,z'
'-x,-y,-z'
'-x,y,-z+1/2'
'x,-y,z+1/2'
'x+1/2,y+1/2,z'
'-x+1/2,-y+1/2,-z'
'-x+1/2,y+1/2,-z+1/2'
'x+1/2,-y+1/2,z+1/2'
loop_
_atom_site_label
_atom_site_fract_x
_atom_site_fract_y
_atom_site_fract_z
_atom_site_occupancy
Rb1 0.099 0.149 0.428 1
Rb2 0.115 0.365 0.868 1
Zr1 0.000 0.390 0.250 1
Zr2 0.177 0.116 0.771 1
Te1 0.014 0.064 0.878 1
Te2 0.049 0.351 0.445 1
Te3 0.122 0.463 0.124 1
Te4 0.139 0.242 0.657 1
Te5 0.149 0.184 0.944 1
Te6 0.149 0.268 0.216 1
Te7 0.181 0.042 0.241 1
Te8 0.203 0.450 0.374 1
```



[14]
The following is a GGA-PBEsol calculation of Rb2TiTl after structural relaxation, from Alexandria via LeMat-Bulk.

Energy relative to the elements in kJ/mol of atoms: 94

The structure in CIF format:
```
data_Rb2TiTl
_chemical_formula_sum 'Rb8 Ti4 Tl4'
_symmetry_space_group_name_H-M 'F m -3 m'
_symmetry_Int_Tables_number 225
_symmetry_space_group_name_Hall '-F 4 2 3'
_cell_length_a 8.626
_cell_length_b 8.626
_cell_length_c 8.626
_cell_angle_alpha 90.00
_cell_angle_beta 90.00
_cell_angle_gamma 90.00
loop_
_atom_site_label
_atom_site_fract_x
_atom_site_fract_y
_atom_site_fract_z
_atom_site_occupancy
Rb1 0.250 0.250 0.250 1
Ti1 0.000 0.000 0.000 1
Tl1 0.000 0.000 0.500 1
```



[15]
The following is a GGA-PBEsol calculation of RbTi3Tl after structural relaxation, from Alexandria via LeMat-Bulk.

Energy relative to the elements in kJ/mol of atoms: 130

The structure in CIF format:
```
data_RbTi3Tl
_chemical_formula_sum 'Rb1 Ti3 Tl1'
_symmetry_space_group_name_H-M 'P m -3 m'
_symmetry_Int_Tables_number 221
_symmetry_space_group_name_Hall '-P 4 2 3'
_cell_length_a 5.345
_cell_length_b 5.345
_cell_length_c 5.345
_cell_angle_alpha 90.00
_cell_angle_beta 90.00
_cell_angle_gamma 90.00
loop_
_atom_site_label
_atom_site_fract_x
_atom_site_fract_y
_atom_site_fract_z
_atom_site_occupancy
Rb1 0.000 0.000 0.000 1
Ti1 0.000 0.500 0.500 1
Tl1 0.500 0.500 0.500 1
```



[16]
The following is a GGA-PBEsol calculation of RbY2Ti after structural relaxation, from Alexandria via LeMat-Bulk.

Energy relative to the elements in kJ/mol of atoms: 83

The structure in CIF format:
```
data_RbY2Ti
_chemical_formula_sum 'Rb4 Y8 Ti4'
_symmetry_space_group_name_H-M 'F m -3 m'
_symmetry_Int_Tables_number 225
_symmetry_space_group_name_Hall '-F 4 2 3'
_cell_length_a 7.830
_cell_length_b 7.830
_cell_length_c 7.830
_cell_angle_alpha 90.00
_cell_angle_beta 90.00
_cell_angle_gamma 90.00
loop_
_atom_site_label
_atom_site_fract_x
_atom_site_fract_y
_atom_site_fract_z
_atom_site_occupancy
Rb1 0.000 0.000 0.000 1
Y1 0.250 0.250 0.250 1
Ti1 0.000 0.000 0.500 1
```



[17]
The following is a GGA-PBEsol calculation of Rb2ZrTi after structural relaxation, from Alexandria via LeMat-Bulk.

Energy relative to the elements in kJ/mol of atoms: 176

The structure in CIF format:
```
data_Rb2ZrTi
_chemical_formula_sum 'Rb8 Zr4 Ti4'
_symmetry_space_group_name_H-M 'F m -3 m'
_symmetry_Int_Tables_number 225
_symmetry_space_group_name_Hall '-F 4 2 3'
_cell_length_a 8.199
_cell_length_b 8.199
_cell_length_c 8.199
_cell_angle_alpha 90.00
_cell_angle_beta 90.00
_cell_angle_gamma 90.00
loop_
_atom_site_label
_atom_site_fract_x
_atom_site_fract_y
_atom_site_fract_z
_atom_site_occupancy
Rb1 0.250 0.250 0.250 1
Zr1 0.000 0.000 0.000 1
Ti1 0.000 0.000 0.500 1
```